[1]
Na2HgBr5: optimized geometry, GGA-PBE.

The structure in POSCAR format:
```
Na2HgBr5
1.0
-3.877 1.428 -4.294
-3.191 -4.327 5.577
-3.191 10.619 6.413
Na Hg Br
4 2 10
direct
0.824 0.648 0.422
0.824 0.648 0.078
0.176 0.352 0.578
0.176 0.352 0.922
0.818 0.636 0.750
0.182 0.364 0.250
0.958 0.917 0.897
0.958 0.917 0.603
0.315 0.630 0.404
0.315 0.630 0.096
0.690 0.379 0.250
0.310 0.621 0.750
0.685 0.370 0.596
0.685 0.370 0.904
0.042 0.083 0.103
0.042 0.083 0.397
```

Summary:
* E_tot: -0.167 Ry per atom
* formation energy (no corrections): -0.8535 eV/atom



[2]
Cd5In3Ga3: optimized geometry, GGA-PBE.

The structure in POSCAR format:
```
Cd5In3Ga3
1.0
3.216 0.000 0.000
0.000 8.528 -4.923
0.000 0.000 9.847
Cd In Ga
5 3 3
direct
0.500 0.667 0.333
0.500 0.333 0.667
0.500 0.334 0.000
0.500 0.666 0.666
0.500 0.000 0.334
0.000 0.595 0.000
0.000 0.000 0.595
0.000 0.405 0.405
0.500 0.838 0.000
0.500 0.162 0.162
0.500 0.000 0.838
```

Summary:
* E_tot: -0.139 Ry per atom
* energy of formation from the pure elements: 0.10 eV/atom
* offset from the most stable computed form: 0.000 eV per atom



[3]
LaNbReSi2: optimized geometry, GGA-PBE.

The structure in POSCAR format:
```
LaNbReSi2
1.0
-3.013 -2.770 0.285
2.532 -2.551 1.978
-1.360 4.912 3.823
La Nb Re Si
1 1 1 2
direct
0.000 0.000 0.000
0.750 0.250 0.500
0.250 0.750 0.500
0.612 0.612 0.225
0.388 0.388 0.775
```

Summary:
* E_tot: -0.603 Ry per atom
* formation energy (no corrections): -0.5465 eV/atom



[4]
V3FeRu: optimized geometry, GGA-PBE.

The structure in POSCAR format:
```
V3FeRu
1.0
4.067 0.021 -0.975
-0.099 5.092 -0.307
-0.605 -0.501 6.431
V Fe Ru
6 2 2
direct
0.500 0.000 0.000
0.500 0.500 0.000
0.103 0.203 0.207
0.897 0.797 0.793
0.700 0.895 0.400
0.300 0.105 0.600
0.696 0.397 0.392
0.304 0.603 0.608
0.101 0.703 0.202
0.899 0.297 0.798
```

Summary:
* E_tot: -0.676 Ry per atom
* energy of formation from the pure elements: -0.18 eV/atom
* offset from the most stable computed form: 0.000 eV per atom



[5]
KCrBi3: optimized geometry, GGA-PBE.

The structure in POSCAR format:
```
KCrBi3
1.0
5.915 0.000 0.000
0.000 5.915 0.000
0.000 0.000 5.915
Cr K Bi
1 1 3
direct
0.500 0.500 0.500
0.000 0.000 0.000
0.000 0.500 0.000
0.000 0.000 0.500
0.500 0.000 0.000
```

Summary:
* E_tot: -0.223 Ry per atom
* energy of formation from the pure elements: 1.44 eV/atom
* offset from the most stable computed form: 1.253 eV per atom



[6]
Er2MgBiC: optimized geometry, GGA-PBE.

The structure in POSCAR format:
```
Er2MgBiC
1.0
4.420 0.000 0.000
0.000 4.941 0.000
0.000 0.000 4.941
Er Mg Bi C
2 1 1 1
direct
0.000 0.000 0.500
0.000 0.500 0.000
0.500 0.000 0.000
0.500 0.500 0.500
0.000 0.000 0.000
```

Summary:
* E_tot: -0.384 Ry per atom
* energy of formation from the pure elements: -0.45 eV/atom



[7]
Ba2AgI4: optimized geometry, GGA-PBE.

The structure in POSCAR format:
```
Ba2AgI4
1.0
-3.306 1.702 -4.416
-4.462 -2.917 2.215
-6.377 6.789 3.618
I Ba Ag
4 2 1
direct
0.813 0.813 0.374
0.187 0.187 0.626
0.000 0.500 0.000
0.500 0.000 0.000
0.625 0.625 0.750
0.375 0.375 0.250
0.000 0.000 0.000
```

Summary:
* E_tot: -0.217 Ry per atom
* formation energy (no corrections): -1.1126 eV/atom



[8]
Tb2PmAlN: optimized geometry, GGA-PBE.

The structure in POSCAR format:
```
Tb2PmAlN
1.0
-3.911 -2.960 -0.624
1.038 -2.243 4.128
-2.755 3.134 2.396
Tb Pm Al N
2 1 1 1
direct
0.000 0.000 0.500
0.000 0.500 0.000
0.500 0.000 0.000
0.500 0.500 0.500
0.000 0.000 0.000
```

Summary:
* E_tot: -0.447 Ry per atom
* formation energy (no corrections): -0.8606 eV/atom



The highest E_tot belongs to which entry? Cd5In3Ga3